Arrangement one

First-principles (PBE-GGA) data for Sm4Er5 after structural relaxation, as listed in Alexandria.

Values from the calculation:
DOS(E_F): 12.9 states/eV/f.u.
Space group: I4/mmm
Total magnetic moment: 0.00 μB/f.u.

Unit cell a=7.9646 b=7.9646 c=7.9646 alpha=95.70 beta=95.70 gamma=143.26
Positions (direct):
Sm  0.1666  0.1666  0.3333
Sm  0.1666  0.8334  0.0000
Sm  0.8334  0.1666  0.0000
Sm  0.8334  0.8334  0.6667
Er  0.1655  0.5000  0.6655
Er  0.5000  0.1655  0.6655
Er  0.5000  0.5000  0.0000
Er  0.5000  0.8345  0.3345
Er  0.8345  0.5000  0.3345

=====

Arrangement two

First-principles (PBE-GGA) data for Sm4Er5 after structural relaxation, as listed in Alexandria.

Values from the calculation:
DOS(E_F): 11.7 states/eV/f.u.
Space group: Immm
Total magnetic moment: 0.00 μB/f.u.

Unit cell a=9.0835 b=9.0835 c=9.0835 alpha=156.85 beta=96.42 gamma=88.20
Positions (direct):
Sm  0.0458  0.1891  0.8567
Sm  0.3324  0.1891  0.1433
Sm  0.6676  0.8109  0.8567
Sm  0.9542  0.8109  0.1433
Er  0.0000  0.5000  0.5000
Er  0.2955  0.5000  0.7955
Er  0.3749  0.8749  0.5000
Er  0.6251  0.1251  0.5000
Er  0.7045  0.5000  0.2045

=====

Stability, lowest: arrangement two

=====

Arrangement one

First-principles (PBE-GGA) data for Sm5Er2 after structural relaxation, as listed in Alexandria.

Values from the calculation:
DOS(E_F): 12.1 states/eV/f.u.
Space group: C2/c
Total magnetic moment: 0.00 μB/f.u.

Unit cell a=8.5543 b=8.5543 c=9.3016 alpha=94.99 beta=94.99 gamma=43.37
Positions (direct):
Sm  0.0270  0.6909  0.0361
Sm  0.1197  0.4512  0.6786
Sm  0.1676  0.8324  0.7500
Sm  0.3091  0.9730  0.4639
Sm  0.4512  0.1197  0.1786
Sm  0.5488  0.8803  0.8214
Sm  0.6909  0.0270  0.5361
Sm  0.8324  0.1676  0.2500
Sm  0.8803  0.5488  0.3214
Sm  0.9730  0.3091  0.9639
Er  0.2644  0.5945  0.3928
Er  0.4055  0.7356  0.1072
Er  0.5945  0.2644  0.8928
Er  0.7356  0.4055  0.6072

=====

Arrangement two

First-principles (PBE-GGA) data for Sm5Er2 after structural relaxation, as listed in Alexandria.

Values from the calculation:
DOS(E_F): 11.1 states/eV/f.u.
Space group: C2/m
Total magnetic moment: 0.00 μB/f.u.

Unit cell a=8.3558 b=8.3558 c=11.3185 alpha=131.46 beta=131.46 gamma=24.30
Positions (direct):
Sm  0.0000  0.0000  0.0000
Sm  0.1611  0.1611  0.6658
Sm  0.3681  0.3681  0.6388
Sm  0.6319  0.6319  0.3612
Sm  0.8388  0.8388  0.3342
Er  0.3630  0.3630  0.0888
Er  0.6370  0.6370  0.9112

=====

Stability, lowest: arrangement two